Entry 1:
## BaP2PdO6 (GGA-PBE)

Data for a relaxed BaP2PdO6 crystal.

E in eV per atom: -6.466
Energy relative to the elements, uncorrected in meV/atom: -1697

abc: 5.739 5.739 6.821
angles: 65.12 65.12 60.00
Fractional coordinates of all 10 atoms:
Ba 0.000 0.000 0.000
P 0.744 0.744 0.768
P 0.256 0.256 0.232
Pd 0.500 0.500 0.500
O 0.035 0.511 0.737
O 0.717 0.035 0.737
O 0.489 0.283 0.263
O 0.965 0.489 0.263
O 0.283 0.965 0.263
O 0.511 0.717 0.737

Entry 2:
## PmNd2YTm5 (GGA-PBE)

Data for a relaxed PmNd2YTm5 crystal.

E in eV per atom: -4.527
ΔE_f in kJ/mol of atoms: 25

abc: 8.677 8.677 9.843
angles: 116.15 116.15 90.00
Fractional coordinates of all 18 atoms:
Pm 0.250 0.250 0.500
Pm 0.750 0.750 0.500
Nd 0.117 0.383 0.000
Nd 0.617 0.117 0.000
Nd 0.383 0.883 0.000
Nd 0.883 0.617 0.000
Y 0.250 0.750 0.500
Y 0.750 0.250 0.500
Tm 0.927 0.427 0.277
Tm 0.650 0.150 0.723
Tm 0.073 0.573 0.723
Tm 0.150 0.073 0.723
Tm 0.573 0.650 0.723
Tm 0.850 0.927 0.277
Tm 0.427 0.350 0.277
Tm 0.350 0.850 0.277
Tm 0.500 0.500 0.000
Tm 0.000 0.000 0.000

Entry 3:
## Zr2BeSb (GGA-PBE)

Data for a relaxed Zr2BeSb crystal.

E in eV per atom: -6.432
Energy relative to the elements, uncorrected in meV/atom: -196

abc: 5.566 5.566 5.566
angles: 137.02 137.02 62.41
Fractional coordinates of all 4 atoms:
Sb 0.750 0.250 0.500
Zr 0.000 0.000 0.000
Zr 0.250 0.750 0.500
Be 0.500 0.500 0.000

no.,spin magnetization (Bohr magnetons per cell)
1,0.2
2,0.0
3,0.0